Below is a relaxed structure of CuReIr, with properties calculated at the PBE level.

Values from the calculation:
E = -8.113 eV per atom
energy of formation from the pure elements = 0.356 eV per atom

Cell lengths 7.0476, 7.0476, 7.0372 Å; angles 94.08, 94.08, 34.00 degrees
With the nearest neighbours (Å) after each atom.
Fractional coordinates of all 12 atoms:
Cu1 0.0291 0.0291 0.3378  3 Cu 2.47-2.54, 3 Ir 2.57-2.60, 1 Re 2.64
Cu2 0.4301 0.4301 0.2311  2 Cu 2.54, 4 Ir 2.64, 1 Re 2.68
Cu3 0.5699 0.5699 0.7689  2 Cu 2.54, 4 Ir 2.64, 1 Re 2.68
Cu4 0.9709 0.9709 0.6622  3 Cu 2.47-2.54, 3 Ir 2.57-2.60, 1 Re 2.64
Re1 0.2232 0.2232 0.3094  4 Ir 2.43-2.69, 1 Cu 2.64, 2 Re 2.65
Re2 0.2974 0.2974 0.9278  4 Ir 2.57-2.85, 4 Re 2.65-2.66, 1 Cu 2.68
Re3 0.7026 0.7026 0.0722  4 Ir 2.57-2.85, 4 Re 2.65-2.66, 1 Cu 2.68
Re4 0.7768 0.7768 0.6906  4 Ir 2.43-2.69, 1 Cu 2.64, 2 Re 2.65
Ir1 0.0921 0.0921 0.0018  1 Ir 2.48, 3 Re 2.57-2.69, 3 Cu 2.57-2.64
Ir2 0.1615 0.1615 0.6253  4 Re 2.43-2.70, 4 Cu 2.60-2.64
Ir3 0.8385 0.8385 0.3747  4 Re 2.43-2.70, 4 Cu 2.60-2.64
Ir4 0.9079 0.9079 0.9982  1 Ir 2.48, 3 Re 2.57-2.69, 3 Cu 2.57-2.64